No. 1
Entry from Alexandria via LeMat-Bulk: a relaxed structure of ReIr3I (GGA-PBEsol).

a b c (Å): 4.7391 4.7391 4.7391
angles (deg): 90.00 90.00 90.00
Closest atoms and distances in Å follow each position.
Positions (direct):
Re1 0.0000 0.0000 0.0000  6 Ir 2.37
Ir1 0.0000 0.0000 0.5000  2 Re 2.37
Ir2 0.0000 0.5000 0.0000  2 Re 2.37
Ir3 0.5000 0.0000 0.0000  2 Re 2.37
I1 0.5000 0.5000 0.5000  12 Ir 3.35

No. 2
Entry from Alexandria via LeMat-Bulk: a relaxed structure of IrS2I (GGA-PBEsol).

a b c (Å): 6.6129 6.6129 8.6501
angles (deg): 90.00 90.00 90.00
Closest atoms and distances in Å follow each position.
Positions (direct):
Ir1 0.0000 0.0000 0.0000  4 S 2.22
Ir2 0.0000 0.5000 0.2500  4 S 2.22
Ir3 0.5000 0.0000 0.7500  4 S 2.22
Ir4 0.5000 0.5000 0.5000  4 S 2.22
S1 0.1530 0.2500 0.1250  2 Ir 2.22
S2 0.2500 0.6530 0.3750  2 Ir 2.22
S3 0.2500 0.8470 0.8750  2 Ir 2.22
S4 0.3470 0.2500 0.6250  2 Ir 2.22
S5 0.6530 0.7500 0.6250  2 Ir 2.22
S6 0.7500 0.1530 0.8750  2 Ir 2.22
S7 0.7500 0.3470 0.3750  2 Ir 2.22
S8 0.8470 0.7500 0.1250  2 Ir 2.22
I1 0.0000 0.0000 0.5000  4 S 3.03
I2 0.0000 0.5000 0.7500  4 S 3.03
I3 0.5000 0.0000 0.2500  4 S 3.03
I4 0.5000 0.5000 0.0000  4 S 3.03

No. 3
Entry from Alexandria via LeMat-Bulk: a relaxed structure of Ir2SI (GGA-PBEsol).

a b c (Å): 4.7880 4.7880 13.9831
angles (deg): 90.00 90.00 90.00
Closest atoms and distances in Å follow each position.
Positions (direct):
Ir1 0.1483 0.2500 0.1250  2 S 2.23
Ir2 0.2500 0.6483 0.3750  2 S 2.23
Ir3 0.2500 0.8517 0.8750  2 S 2.23
Ir4 0.3517 0.2500 0.6250  2 S 2.23
Ir5 0.6483 0.7500 0.6250  2 S 2.23
Ir6 0.7500 0.1483 0.8750  2 S 2.23
Ir7 0.7500 0.3517 0.3750  2 S 2.23
Ir8 0.8517 0.7500 0.1250  2 S 2.23
S1 0.0000 0.0000 0.0000  4 Ir 2.23
S2 0.0000 0.5000 0.2500  4 Ir 2.23
S3 0.5000 0.0000 0.7500  4 Ir 2.23
S4 0.5000 0.5000 0.5000  4 Ir 2.23
I1 0.0000 0.0000 0.5000  4 Ir 2.71
I2 0.0000 0.5000 0.7500  4 Ir 2.71
I3 0.5000 0.0000 0.2500  4 Ir 2.71
I4 0.5000 0.5000 0.0000  4 Ir 2.71

No. 4
Entry from Alexandria via LeMat-Bulk: a relaxed structure of TaSb2IrI (GGA-PBEsol).

a b c (Å): 5.0257 5.0257 5.2930
angles (deg): 90.00 90.00 90.00
Closest atoms and distances in Å follow each position.
Positions (direct):
Ta1 0.0000 0.0000 0.0000  4 I 3.55, 8 Sb 3.65
Sb1 0.0000 0.5000 0.5000  2 Ir 2.51
Sb2 0.5000 0.0000 0.5000  2 Ir 2.51
Ir1 0.5000 0.5000 0.5000  4 Sb 2.51, 2 I 2.65
I1 0.5000 0.5000 0.0000  2 Ir 2.65

No. 5
Entry from Alexandria via LeMat-Bulk: a relaxed structure of SbTe2IrI (GGA-PBEsol).

a b c (Å): 5.6158 5.6158 5.6103
angles (deg): 90.00 90.00 90.00
Closest atoms and distances in Å follow each position.
Positions (direct):
Sb1 0.0000 0.0000 0.0000  2 I 2.81, 4 Te 2.81
Te1 0.0000 0.5000 0.0000  2 Sb 2.81
Te2 0.5000 0.0000 0.0000  2 Sb 2.81
Ir1 0.5000 0.5000 0.5000  8 Te 3.97, 4 I 3.97
I1 0.0000 0.0000 0.5000  2 Sb 2.81

No. 6
Entry from Alexandria via LeMat-Bulk: a relaxed structure of TiSb2IrI (GGA-PBEsol).

a b c (Å): 5.0509 5.0509 5.4846
angles (deg): 90.00 90.00 90.00
Closest atoms and distances in Å follow each position.
Positions (direct):
Ti1 0.0000 0.0000 0.0000  4 I 3.57, 8 Sb 3.73
Sb1 0.0000 0.5000 0.5000  2 Ir 2.53
Sb2 0.5000 0.0000 0.5000  2 Ir 2.53
Ir1 0.5000 0.5000 0.5000  4 Sb 2.53, 2 I 2.74
I1 0.5000 0.5000 0.0000  2 Ir 2.74

Asked for E across the records above, the calculation gives -0.517; -0.362; -0.449; -0.397; -0.221; -0.370 Ry/atom in order.